TaZnTe2 | GGA-PBEsol | relaxed

Calculated values
Symmetry = No. 65
Calculated total energy = -20.0 eV/cell
V = 92.2 Å³/cell
Density of states at the Fermi level = 2.68 states/eV/f.u.

Unit cell a=3.1710 b=3.1710 c=9.8891 alpha=90.00 beta=90.00 gamma=111.94
Sites, in units of the cell vectors:
Ta 0.5000 0.5000 0.0000
Te 0.0000 0.0000 0.2200
Te 0.0000 0.0000 0.7800
Zn 0.5000 0.5000 0.5000